Entry 1:
Compound: AcB3Ir3
Source: the Alexandria database
Functional: GGA-PBE
Structure: optimized geometry

CIF file:
```
data_AcB3Ir3
_space_group_name_H-M_alt 'R -3'
_space_group_IT_number 148
_space_group_name_Hall '-R 3'
_cell_length_a 6.2301
_cell_length_b 6.2301
_cell_length_c 21.2472
_cell_angle_alpha 90.00
_cell_angle_beta 90.00
_cell_angle_gamma 120.00
loop_
_atom_site_label
_atom_site_fract_x
_atom_site_fract_y
_atom_site_fract_z
_atom_site_occupancy
Ac1 0.0000 0.0000 0.1673 1
B1 0.0078 0.3252 0.7252 1
Ir1 0.0066 0.3246 0.6196 1
```

Output
- DFT total energy (eV/atom) = -7.435
- V (Å³/atom) = 17.0
- DFT formation energy (eV per atom) = -0.19

Entry 2:
Compound: Ac2B10Ir
Source: the Alexandria database
Functional: GGA-PBE
Structure: optimized geometry

CIF file:
```
data_Ac2B10Ir
_space_group_name_H-M_alt 'P b a m'
_space_group_IT_number 55
_space_group_name_Hall '-P 2 2ab'
_cell_length_a 5.871
_cell_length_b 11.705
_cell_length_c 4.316
_cell_angle_alpha 90.00
_cell_angle_beta 90.00
_cell_angle_gamma 90.00
loop_
_atom_site_label
_atom_site_fract_x
_atom_site_fract_y
_atom_site_fract_z
_atom_site_occupancy
Ac1 0.209 0.134 0.000 1
B1 0.057 0.307 0.500 1
B2 0.120 0.956 0.500 1
B3 0.140 0.804 0.500 1
B4 0.216 0.382 0.202 1
Ir1 0.000 0.500 0.500 1
```

Output
- DFT total energy (eV/atom) = -7.000
- V (Å³/atom) = 11.4
- DFT formation energy (eV per atom) = -0.55

Entry 3:
Compound: AcB2Ir3
Source: the Alexandria database
Functional: GGA-PBE
Structure: optimized geometry

CIF file:
```
data_AcB2Ir3
_space_group_name_H-M_alt 'C 1 2/m 1'
_space_group_IT_number 12
_space_group_name_Hall '-C 2y'
_cell_length_a 15.184
_cell_length_b 3.858
_cell_length_c 7.572
_cell_angle_alpha 90.00
_cell_angle_beta 117.05
_cell_angle_gamma 90.00
loop_
_atom_site_label
_atom_site_fract_x
_atom_site_fract_y
_atom_site_fract_z
_atom_site_occupancy
Ac1 0.150 0.000 0.066 1
B1 0.022 0.500 0.235 1
B2 0.186 0.000 0.593 1
Ir1 0.038 0.000 0.365 1
Ir2 0.100 0.500 0.692 1
Ir3 0.180 0.500 0.439 1
```

Output
- energy relative to the lowest polymorph listed for this composition (meV per atom) = 0
- DFT total energy (eV/atom) = -7.703
- V (Å³/atom) = 16.5
- DFT formation energy (eV per atom) = -0.36

Entry 4:
Compound: AcBIr3
Source: the Alexandria database
Functional: GGA-PBE
Structure: optimized geometry

CIF file:
```
data_AcBIr3
_space_group_name_H-M_alt 'C m c m'
_space_group_IT_number 63
_space_group_name_Hall '-C 2c 2'
_cell_length_a 4.890
_cell_length_b 16.240
_cell_length_c 5.461
_cell_angle_alpha 90.00
_cell_angle_beta 90.00
_cell_angle_gamma 90.00
loop_
_atom_site_label
_atom_site_fract_x
_atom_site_fract_y
_atom_site_fract_z
_atom_site_occupancy
Ac1 0.000 0.176 0.250 1
B1 0.000 0.481 0.250 1
Ir1 0.000 0.000 0.000 1
Ir2 0.244 0.376 0.250 1
```

Output
- energy relative to the lowest polymorph listed for this composition (meV per atom) = 740
- DFT total energy (eV/atom) = -7.086
- V (Å³/atom) = 21.7
- DFT formation energy (eV per atom) = 0.39

Entry 5:
Compound: Ac2BIr2
Source: the Alexandria database
Functional: GGA-PBE
Structure: optimized geometry

CIF file:
```
data_Ac2BIr2
_space_group_name_H-M_alt 'I b a m'
_space_group_IT_number 72
_space_group_name_Hall '-I 2 2c'
_cell_length_a 6.316
_cell_length_b 12.097
_cell_length_c 6.227
_cell_angle_alpha 90.00
_cell_angle_beta 90.00
_cell_angle_gamma 90.00
loop_
_atom_site_label
_atom_site_fract_x
_atom_site_fract_y
_atom_site_fract_z
_atom_site_occupancy
Ac1 0.182 0.142 0.000 1
B1 0.000 0.500 0.250 1
Ir1 0.159 0.407 0.000 1
```

Output
- DFT total energy (eV/atom) = -7.056
- V (Å³/atom) = 23.8
- DFT formation energy (eV per atom) = -0.53

Entry 6:
Compound: Ac3B4Ir4
Source: the Alexandria database
Functional: GGA-PBE
Structure: optimized geometry

CIF file:
```
data_Ac3B4Ir4
_space_group_name_H-M_alt 'I m m m'
_space_group_IT_number 71
_space_group_name_Hall '-I 2 2'
_cell_length_a 3.719
_cell_length_b 4.572
_cell_length_c 23.366
_cell_angle_alpha 90.00
_cell_angle_beta 90.00
_cell_angle_gamma 90.00
loop_
_atom_site_label
_atom_site_fract_x
_atom_site_fract_y
_atom_site_fract_z
_atom_site_occupancy
Ac1 0.000 0.000 0.000 1
Ac2 0.000 0.500 0.347 1
B1 0.000 0.000 0.250 1
B2 0.000 0.500 0.108 1
Ir1 0.000 0.000 0.437 1
Ir2 0.000 0.500 0.205 1
```

Output
- DFT total energy (eV/atom) = -7.110
- V (Å³/atom) = 18.1
- DFT formation energy (eV per atom) = -0.34

Entry 7:
Compound: AcBIr3
Source: the Alexandria database
Functional: GGA-PBE
Structure: optimized geometry

CIF file:
```
data_AcBIr3
_space_group_name_H-M_alt 'P m -3 m'
_space_group_IT_number 221
_space_group_name_Hall '-P 4 2 3'
_cell_length_a 4.376
_cell_length_b 4.376
_cell_length_c 4.376
_cell_angle_alpha 90.00
_cell_angle_beta 90.00
_cell_angle_gamma 90.00
loop_
_atom_site_label
_atom_site_fract_x
_atom_site_fract_y
_atom_site_fract_z
_atom_site_occupancy
Ac1 0.000 0.000 0.000 1
B1 0.500 0.500 0.500 1
Ir1 0.000 0.500 0.500 1
```

Output
- energy relative to the lowest polymorph listed for this composition (meV per atom) = 0
- DFT total energy (eV/atom) = -7.826
- V (Å³/atom) = 16.8
- DFT formation energy (eV per atom) = -0.35

Entry 8:
Compound: AcB4Ir5
Source: the Alexandria database
Functional: GGA-PBE
Structure: optimized geometry

CIF file:
```
data_AcB4Ir5
_space_group_name_H-M_alt 'P m m n'
_space_group_IT_number 59
_cell_length_a 5.894
_cell_length_b 9.383
_cell_length_c 5.183
_cell_angle_alpha 90.00
_cell_angle_beta 90.00
_cell_angle_gamma 90.00
loop_
_space_group_symop_operation_xyz
'x,y,z'
'-x,-y,-z'
'-x+1/2,-y+1/2,z'
'x+1/2,y+1/2,-z'
'x+1/2,-y,-z'
'-x+1/2,y,z'
'-x,y+1/2,-z'
'x,-y+1/2,z'
loop_
_atom_site_label
_atom_site_fract_x
_atom_site_fract_y
_atom_site_fract_z
_atom_site_occupancy
Ac1 0.250 0.250 0.198 1
B1 0.045 0.750 0.303 1
B2 0.250 0.586 0.963 1
Ir1 0.008 0.043 0.742 1
Ir2 0.250 0.750 0.653 1
```

Output
- DFT total energy (eV/atom) = -7.776
- V (Å³/atom) = 14.3
- DFT formation energy (eV per atom) = -0.26

Entry 9:
Compound: Ac3BIr3
Source: the Alexandria database
Functional: GGA-PBE
Structure: optimized geometry

CIF file:
```
data_Ac3BIr3
_space_group_name_H-M_alt 'P 63/m'
_space_group_IT_number 176
_space_group_name_Hall '-P 6c'
_cell_length_a 8.7144
_cell_length_b 8.7144
_cell_length_c 5.9867
_cell_angle_alpha 90.00
_cell_angle_beta 90.00
_cell_angle_gamma 120.00
loop_
_atom_site_label
_atom_site_fract_x
_atom_site_fract_y
_atom_site_fract_z
_atom_site_occupancy
Ac1 0.0768 0.3638 0.2500 1
B1 0.3333 0.6667 0.7500 1
Ir1 0.1129 0.4237 0.7500 1
```

Output
- DFT total energy (eV/atom) = -6.918
- V (Å³/atom) = 28.1
- DFT formation energy (eV per atom) = -0.41

Entry 10:
Compound: AcBIr
Source: the Alexandria database
Functional: GGA-PBE
Structure: optimized geometry

CIF file:
```
data_AcBIr
_space_group_name_H-M_alt 'P 1 21/c 1'
_space_group_IT_number 14
_space_group_name_Hall '-P 2ybc'
_cell_length_a 5.757
_cell_length_b 7.017
_cell_length_c 7.187
_cell_angle_alpha 90.00
_cell_angle_beta 121.14
_cell_angle_gamma 90.00
loop_
_atom_site_label
_atom_site_fract_x
_atom_site_fract_y
_atom_site_fract_z
_atom_site_occupancy
Ac1 0.150 0.059 0.326 1
B1 0.438 0.657 0.311 1
Ir1 0.436 0.633 0.609 1
```

Output
- energy relative to the lowest polymorph listed for this composition (meV per atom) = 0
- DFT total energy (eV/atom) = -7.153
- V (Å³/atom) = 20.7
- DFT formation energy (eV per atom) = -0.60

Entry 11:
Compound: Ac2BIr3
Source: the Alexandria database
Functional: GGA-PBE
Structure: optimized geometry

CIF file:
```
data_Ac2BIr3
_space_group_name_H-M_alt 'F m m m'
_space_group_IT_number 69
_space_group_name_Hall '-F 2 2'
_cell_length_a 7.944
_cell_length_b 8.985
_cell_length_c 14.674
_cell_angle_alpha 90.00
_cell_angle_beta 90.00
_cell_angle_gamma 90.00
loop_
_atom_site_label
_atom_site_fract_x
_atom_site_fract_y
_atom_site_fract_z
_atom_site_occupancy
Ac1 0.000 0.234 0.000 1
Ac2 0.250 0.250 0.250 1
B1 0.000 0.000 0.313 1
Ir1 0.000 0.000 0.174 1
Ir2 0.196 0.000 0.406 1
```

Output
- DFT total energy (eV/atom) = -7.485
- V (Å³/atom) = 21.8
- DFT formation energy (eV per atom) = -0.57

Entry 12:
Compound: AcBIr
Source: the Alexandria database
Functional: GGA-PBE
Structure: optimized geometry

CIF file:
```
data_AcBIr
_space_group_name_H-M_alt 'P -6 m 2'
_space_group_IT_number 187
_space_group_name_Hall 'P -6 2'
_cell_length_a 3.7259
_cell_length_b 3.7259
_cell_length_c 4.9088
_cell_angle_alpha 90.00
_cell_angle_beta 90.00
_cell_angle_gamma 120.00
loop_
_atom_site_label
_atom_site_fract_x
_atom_site_fract_y
_atom_site_fract_z
_atom_site_occupancy
Ac1 0.0000 0.0000 0.0000 1
B1 0.3333 0.6667 0.5000 1
Ir1 0.6667 0.3333 0.5000 1
```

Output
- energy relative to the lowest polymorph listed for this composition (meV per atom) = 182
- DFT total energy (eV/atom) = -6.971
- V (Å³/atom) = 19.7
- DFT formation energy (eV per atom) = -0.42

Copy entry 9 word for word.
Compound: Ac3BIr3
Source: the Alexandria database
Functional: GGA-PBE
Structure: optimized geometry

CIF file:
```
data_Ac3BIr3
_space_group_name_H-M_alt 'P 63/m'
_space_group_IT_number 176
_space_group_name_Hall '-P 6c'
_cell_length_a 8.7144
_cell_length_b 8.7144
_cell_length_c 5.9867
_cell_angle_alpha 90.00
_cell_angle_beta 90.00
_cell_angle_gamma 120.00
loop_
_atom_site_label
_atom_site_fract_x
_atom_site_fract_y
_atom_site_fract_z
_atom_site_occupancy
Ac1 0.0768 0.3638 0.2500 1
B1 0.3333 0.6667 0.7500 1
Ir1 0.1129 0.4237 0.7500 1
```

Output
- DFT total energy (eV/atom) = -6.918
- V (Å³/atom) = 28.1
- DFT formation energy (eV per atom) = -0.41

> V of number 9 (Ac3BIr3)?

28.1 Å³/atom

> What is the DFT formation energy in the first record?

-0.19 eV per atom